Li2Ca2Sn | GGA-PBE | optimized geometry

Cell lengths 4.803, 6.136, 10.716 Å; angles 87.28, 77.05, 66.96 degrees
Fractional coordinates of all 10 atoms:
Li1 0.885 0.776 0.454
Li2 0.617 0.885 0.881
Li3 0.383 0.115 0.119
Li4 0.115 0.224 0.546
Ca1 0.688 0.285 0.339
Ca2 0.084 0.708 0.123
Ca3 0.916 0.292 0.877
Ca4 0.312 0.715 0.661
Sn1 0.597 0.140 0.666
Sn2 0.403 0.860 0.334

Results
Calculated volume, Å³/atom: 28.29
DFT formation energy, meV per atom: -308
Total magnetic moment, μB/atom: 0.000
Space group: No. 12
Raw total energy, eV per atom: -2.675
Offset from the most stable computed form, meV/atom: 0



La7Dy2 | GGA-PBE | optimized geometry

Cell lengths 6.378, 6.378, 9.059 Å; angles 90.00, 90.00, 120.00 degrees
Fractional coordinates of all 9 atoms:
La1 0.334 0.000 0.670
La2 0.000 0.666 0.330
La3 0.666 0.000 0.330
La4 0.666 0.666 0.670
La5 0.334 0.334 0.330
La6 0.000 0.334 0.670
La7 0.000 0.000 0.000
Dy1 0.667 0.333 0.000
Dy2 0.333 0.667 0.000

Results
Calculated volume, Å³/atom: 35.46
DFT formation energy, meV per atom: 18
Total magnetic moment, μB/atom: 0.000
Space group: No. 162
Raw total energy, eV per atom: -4.837



LaPm2Ho2 | GGA-PBE | optimized geometry

Cell lengths 6.360, 6.360, 9.472 Å; angles 107.73, 109.14, 93.34 degrees
Fractional coordinates of all 10 atoms:
La1 0.676 0.926 0.250
La2 0.324 0.074 0.750
Ho1 0.208 0.336 0.453
Ho2 0.117 0.745 0.953
Ho3 0.792 0.664 0.547
Ho4 0.883 0.255 0.047
Pm1 0.440 0.368 0.162
Pm2 0.794 0.222 0.662
Pm3 0.560 0.632 0.838
Pm4 0.206 0.778 0.338

Results
Calculated volume, Å³/atom: 33.95
DFT formation energy, meV per atom: 124
Total magnetic moment, μB/atom: 0.000
Space group: No. 15
Raw total energy, eV per atom: -4.593
Offset from the most stable computed form, meV/atom: 0



Tb2Nd5Y5 | GGA-PBE | optimized geometry

Cell lengths 5.733, 9.078, 9.078 Å; angles 101.80, 71.59, 71.59 degrees
Fractional coordinates of all 12 atoms:
Y1 0.670 0.955 0.705
Y2 0.668 0.706 0.957
Y3 0.000 0.500 0.500
Y4 0.332 0.294 0.043
Y5 0.330 0.045 0.295
Nd1 0.665 0.212 0.458
Nd2 0.335 0.788 0.542
Nd3 0.995 0.253 0.756
Nd4 0.005 0.747 0.244
Nd5 0.000 0.000 0.000
Tb1 0.664 0.459 0.213
Tb2 0.336 0.541 0.787

Results
Calculated volume, Å³/atom: 33.36
DFT formation energy, meV per atom: 61
Total magnetic moment, μB/atom: 0.000
Space group: No. 12
Raw total energy, eV per atom: -5.391
Offset from the most stable computed form, meV/atom: 45